TeRhW2: relaxed, PBE.

Unit cell a=2.9169 b=2.9169 c=8.7594 alpha=90.00 beta=90.00 gamma=106.10
With the nearest neighbours (Å) after each atom.
Sites, in units of the cell vectors:
Te1 0.0000 0.0000 0.0000  4 Te 2.92, 2 Rh 2.95, 2 W 3.03
Rh1 0.5000 0.5000 0.7286  2 W 2.58
W1 0.0000 0.0000 0.5123  2 Rh 2.58, 2 W 2.67
W2 0.5000 0.5000 0.2818  6 W 2.67-2.92

Results
Formation energy (no corrections) (eV per atom): 0.4791
V (Å³/atom): 17.90

Si3WC: relaxed, PBE.

Unit cell a=3.9772 b=3.9772 c=3.9772 alpha=90.00 beta=90.00 gamma=90.00
With the nearest neighbours (Å) after each atom.
Sites, in units of the cell vectors:
Si1 0.0000 0.0000 0.5000  2 C 1.99
Si2 0.0000 0.5000 0.0000  2 C 1.99
Si3 0.5000 0.0000 0.0000  2 C 1.99
W1 0.5000 0.5000 0.5000  12 Si 2.81
C1 0.0000 0.0000 0.0000  6 Si 1.99

Results
Distance to the lowest polymorph of the same formula (meV/atom): 0
Formation energy (no corrections) (eV per atom): 0.9709
V (Å³/atom): 12.58

ScAg2Cl: relaxed, PBE.

Unit cell a=4.9049 b=4.9049 c=4.9049 alpha=60.00 beta=60.00 gamma=60.00
With the nearest neighbours (Å) after each atom.
Sites, in units of the cell vectors:
Sc1 0.0000 0.0000 0.0000  8 Ag 3.00
Ag1 0.2500 0.2500 0.2500  4 Cl 3.00, 4 Sc 3.00
Ag2 0.7500 0.7500 0.7500  4 Cl 3.00, 4 Sc 3.00
Cl1 0.5000 0.5000 0.5000  8 Ag 3.00

Results
Distance to the lowest polymorph of the same formula (meV/atom): 612
Formation energy (no corrections) (eV per atom): 0.0514
V (Å³/atom): 20.86

Calculated density for every record listed, in sequence, given in g/cm³: 13.87 7.39 5.89.
Total magnetization for every record listed, in sequence, given in μB per atom: 0.000 0.000 0.000.